# 1
DFT (PBE-GGA) results for crystalline Sr3CdSn2 at its relaxed geometry.

```
Sr3CdSn2
1.0
13.3727 0.0000 0.0000
0.0000 4.9529 0.0000
0.0000 0.0000 12.8314
Sr Cd Sn
12 4 8
Direct
0.0523 0.2500 0.1203
0.1290 0.7500 0.5673
0.2090 0.2500 0.8112
0.2910 0.7500 0.3112
0.3710 0.2500 0.0673
0.4477 0.7500 0.6203
0.5523 0.2500 0.3797
0.6290 0.7500 0.9327
0.7090 0.2500 0.6888
0.7910 0.7500 0.1888
0.8710 0.2500 0.4327
0.9477 0.7500 0.8797
0.1258 0.2500 0.3778
0.3742 0.7500 0.8778
0.6258 0.2500 0.1222
0.8742 0.7500 0.6222
0.0197 0.7500 0.3155
0.1904 0.7500 0.0013
0.3096 0.2500 0.5013
0.4803 0.2500 0.8155
0.5197 0.7500 0.1845
0.6904 0.7500 0.4987
0.8096 0.2500 0.9987
0.9803 0.2500 0.6845
```

***

# 2
DFT (PBE-GGA) results for crystalline SrCd10Sn2 at its relaxed geometry.

```
SrCd10Sn2
1.0
0.0000 7.0230 7.2774
3.2264 0.0000 7.2774
3.2264 7.0230 0.0000
Sr Cd Sn
1 10 2
Direct
0.0000 0.0000 0.0000
0.0000 0.5000 0.0000
0.0053 0.3551 0.6449
0.2834 0.4948 0.5052
0.3551 0.0053 0.9947
0.4948 0.2834 0.7166
0.5000 0.0000 0.5000
0.5052 0.7166 0.2834
0.6449 0.9947 0.0053
0.7166 0.5052 0.4948
0.9947 0.6449 0.3551
0.0000 0.0000 0.5000
0.5000 0.5000 0.0000
```

***

# 3
DFT (PBE-GGA) results for crystalline SrCd6Sn at its relaxed geometry.

```
SrCd6Sn
1.0
4.7634 0.0000 0.0000
0.0000 4.7634 0.0000
0.0000 0.0000 9.7067
Sr Cd Sn
1 6 1
Direct
0.0000 0.0000 0.0000
0.0000 0.5000 0.3141
0.0000 0.5000 0.6859
0.5000 0.0000 0.3141
0.5000 0.0000 0.6859
0.5000 0.5000 0.1427
0.5000 0.5000 0.8573
0.0000 0.0000 0.5000
```

***

# 4
DFT (PBE-GGA) results for crystalline Sr5Cd2Sn at its relaxed geometry.

```
Sr5Cd2Sn
1.0
-4.2733 4.2733 8.5179
4.2733 -4.2733 8.5179
4.2733 4.2733 -8.5179
Sr Cd Sn
10 4 2
Direct
0.0000 0.0000 0.0000
0.0275 0.5275 0.8526
0.1749 0.0275 0.5000
0.3251 0.8251 0.8526
0.4725 0.3251 0.5000
0.5000 0.5000 0.0000
0.5275 0.6749 0.5000
0.6749 0.1749 0.1474
0.8251 0.9725 0.5000
0.9725 0.4725 0.1474
0.1185 0.3815 0.5000
0.3815 0.8815 0.2630
0.6185 0.1185 0.7370
0.8815 0.6185 0.5000
0.2500 0.2500 0.0000
0.7500 0.7500 0.0000
```

***

# 5
DFT (PBE-GGA) results for crystalline Sr4Cd3Sn at its relaxed geometry.

```
Sr4Cd3Sn
1.0
-2.8628 2.8628 8.1388
2.8628 -2.8628 8.1388
2.8628 2.8628 -8.1388
Sr Cd Sn
4 3 1
Direct
0.1247 0.6247 0.5000
0.3753 0.8753 0.5000
0.6247 0.1247 0.5000
0.8753 0.3753 0.5000
0.0000 0.0000 0.0000
0.2490 0.2490 0.0000
0.7510 0.7510 0.0000
0.5000 0.5000 0.0000
```

***

# 6
DFT (PBE-GGA) results for crystalline Sr2CdSn at its relaxed geometry.

```
Sr2CdSn
1.0
-2.7400 2.7400 10.8502
2.7400 -2.7400 10.8502
2.7400 2.7400 -10.8502
Sr Cd Sn
4 2 2
Direct
0.1207 0.6250 0.9957
0.3750 0.3707 0.4957
0.6293 0.1250 0.0043
0.8750 0.8793 0.5043
0.2500 0.7500 0.5000
0.5000 0.5000 0.0000
0.0000 0.0000 0.0000
0.7500 0.2500 0.5000
```

Polymorph energy (0 for the lowest one) (meV/atom): 570

***

# 7
DFT (PBE-GGA) results for crystalline SrCd2Sn at its relaxed geometry.

```
SrCd2Sn
1.0
1.7974 1.0377 11.5261
-1.7974 1.0377 11.5261
0.0000 -2.0754 11.5261
Sr Cd Sn
1 2 1
Direct
0.0000 0.0000 0.0000
0.0962 0.0962 0.0962
0.9038 0.9038 0.9038
0.5000 0.5000 0.5000
```

***

# 8
DFT (PBE-GGA) results for crystalline Sr2CdSn2 at its relaxed geometry.

```
Sr2CdSn2
1.0
-2.1485 2.1485 9.5567
2.1485 -2.1485 9.5567
2.1485 2.1485 -9.5567
Sr Cd Sn
2 1 2
Direct
0.1032 0.1032 0.0000
0.8968 0.8968 0.0000
0.5000 0.5000 0.0000
0.2500 0.7500 0.5000
0.7500 0.2500 0.5000
```

Polymorph energy (0 for the lowest one) (meV/atom): 309

***

| no. | raw total energy (eV per cell) | formation energy (eV per atom) |
| --- | --- | --- |
| 1 | -69.38 | -0.563 |
| 2 | -19.86 | -0.078 |
| 3 | -12.34 | -0.145 |
| 4 | -34.39 | -0.369 |
| 5 | -16.93 | -0.432 |
| 6 | -16.40 | 0.021 |
| 7 | -6.62 | 0.224 |
| 8 | -13.64 | -0.272 |